1.
# TaCoIr2 (SCAN, PBEsol geometry)
data_TaCoIr2
_space_group_name_H-M_alt 'C 1 2/m 1'
_space_group_IT_number 12
_cell_length_a 5.311
_cell_length_b 8.976
_cell_length_c 2.704
_cell_angle_alpha 90.00
_cell_angle_beta 118.29
_cell_angle_gamma 90.00
loop_
_space_group_symop_operation_xyz
'x,y,z'
'-x,-y,-z'
'-x,y,-z'
'x,-y,z'
'x+1/2,y+1/2,z'
'-x+1/2,-y+1/2,-z'
'-x+1/2,y+1/2,-z'
'x+1/2,-y+1/2,z'
loop_
_atom_site_label
_atom_site_type_symbol
_atom_site_fract_x
_atom_site_fract_y
_atom_site_fract_z
Ta1 Ta 0.000 0.000 0.000
Co1 Co 0.000 0.500 0.000
Ir1 Ir 0.250 0.250 0.500
# **ΔE_f**: -0.12 eV/atom
# **E_tot**: -56.65 eV per atom
# **N(E_F)**: 5.72 states/eV per cell

***

2.
# TaCoIr2 (SCAN, PBEsol geometry)
data_TaCoIr2
_space_group_name_H-M_alt 'I 4/m m m'
_space_group_IT_number 139
_space_group_name_Hall '-I 4 2'
_cell_length_a 3.852
_cell_length_b 3.852
_cell_length_c 7.531
_cell_angle_alpha 90.00
_cell_angle_beta 90.00
_cell_angle_gamma 90.00
loop_
_atom_site_label
_atom_site_type_symbol
_atom_site_fract_x
_atom_site_fract_y
_atom_site_fract_z
Ta1 Ta 0.000 0.000 0.000
Co1 Co 0.000 0.000 0.500
Ir1 Ir 0.000 0.500 0.250
# **ΔE_f**: -0.56 eV/atom
# **E_tot**: -57.08 eV per atom
# **N(E_F)**: 5.39 states/eV per cell

***

3.
# TaCo2Ir (SCAN, PBEsol geometry)
data_TaCo2Ir
_space_group_name_H-M_alt 'P m m m'
_space_group_IT_number 47
_cell_length_a 2.687
_cell_length_b 3.590
_cell_length_c 5.303
_cell_angle_alpha 90.00
_cell_angle_beta 90.00
_cell_angle_gamma 90.00
loop_
_space_group_symop_operation_xyz
'x,y,z'
'-x,-y,-z'
'-x,-y,z'
'x,y,-z'
'x,-y,-z'
'-x,y,z'
'-x,y,-z'
'x,-y,z'
loop_
_atom_site_label
_atom_site_type_symbol
_atom_site_fract_x
_atom_site_fract_y
_atom_site_fract_z
Ta1 Ta 0.000 0.000 0.000
Co1 Co 0.500 0.500 0.266
Ir1 Ir 0.000 0.000 0.500
# **ΔE_f**: -0.10 eV/atom
# **Excess energy over the best structure of this formula in the dataset**: 270 meV per atom
# **E_tot**: -43.17 eV per atom
# **N(E_F)**: 3.72 states/eV per cell

***

4.
# Ta3CoIr (SCAN, PBEsol geometry)
data_Ta3CoIr
_space_group_name_H-M_alt 'P m -3 m'
_space_group_IT_number 221
_space_group_name_Hall '-P 4 2 3'
_cell_length_a 4.447
_cell_length_b 4.447
_cell_length_c 4.447
_cell_angle_alpha 90.00
_cell_angle_beta 90.00
_cell_angle_gamma 90.00
loop_
_atom_site_label
_atom_site_type_symbol
_atom_site_fract_x
_atom_site_fract_y
_atom_site_fract_z
Ta1 Ta 0.000 0.000 0.500
Co1 Co 0.000 0.000 0.000
Ir1 Ir 0.500 0.500 0.500
# **ΔE_f**: 0.70 eV/atom
# **Excess energy over the best structure of this formula in the dataset**: 0 meV per atom
# **E_tot**: -56.93 eV per atom
# **N(E_F)**: 4.82 states/eV per cell

***

5.
# TaCo2Ir (SCAN, PBEsol geometry)
data_TaCo2Ir
_space_group_name_H-M_alt 'I -4 m 2'
_space_group_IT_number 119
_space_group_name_Hall 'I -4 -2'
_cell_length_a 3.703
_cell_length_b 3.703
_cell_length_c 7.539
_cell_angle_alpha 90.00
_cell_angle_beta 90.00
_cell_angle_gamma 90.00
loop_
_atom_site_label
_atom_site_type_symbol
_atom_site_fract_x
_atom_site_fract_y
_atom_site_fract_z
Ta1 Ta 0.000 0.000 0.000
Co1 Co 0.000 0.000 0.500
Co2 Co 0.000 0.500 0.250
Ir1 Ir 0.000 0.500 0.750
# **ΔE_f**: -0.32 eV/atom
# **Excess energy over the best structure of this formula in the dataset**: 49 meV per atom
# **E_tot**: -43.39 eV per atom
# **N(E_F)**: 6.20 states/eV per cell

***

6.
# TaCo2Ir (SCAN, PBEsol geometry)
data_TaCo2Ir
_space_group_name_H-M_alt 'P 4 m m'
_space_group_IT_number 99
_cell_length_a 3.108
_cell_length_b 3.108
_cell_length_c 5.425
_cell_angle_alpha 90.00
_cell_angle_beta 90.00
_cell_angle_gamma 90.00
loop_
_space_group_symop_operation_xyz
'x,y,z'
'-y,x,z'
'-x,-y,z'
'y,-x,z'
'-x,y,z'
'y,x,z'
'x,-y,z'
'-y,-x,z'
loop_
_atom_site_label
_atom_site_type_symbol
_atom_site_fract_x
_atom_site_fract_y
_atom_site_fract_z
Ta1 Ta 0.000 0.000 0.000
Co1 Co 0.000 0.000 0.448
Co2 Co 0.500 0.500 0.250
Ir1 Ir 0.500 0.500 0.715
# **ΔE_f**: -0.18 eV/atom
# **Excess energy over the best structure of this formula in the dataset**: 184 meV per atom
# **E_tot**: -43.26 eV per atom
# **N(E_F)**: 3.23 states/eV per cell

***

7.
# TaCoIr2 (SCAN, PBEsol geometry)
data_TaCoIr2
_space_group_name_H-M_alt 'P 1 2/m 1'
_space_group_IT_number 10
_cell_length_a 2.703
_cell_length_b 4.203
_cell_length_c 5.138
_cell_angle_alpha 90.00
_cell_angle_beta 104.73
_cell_angle_gamma 90.00
loop_
_space_group_symop_operation_xyz
'x,y,z'
'-x,-y,-z'
'-x,y,-z'
'x,-y,z'
loop_
_atom_site_label
_atom_site_type_symbol
_atom_site_fract_x
_atom_site_fract_y
_atom_site_fract_z
Ta1 Ta 0.000 0.000 0.000
Co1 Co 0.000 0.000 0.500
Ir1 Ir 0.369 0.500 0.730
# **ΔE_f**: -0.31 eV/atom
# **E_tot**: -56.83 eV per atom
# **N(E_F)**: 2.37 states/eV per cell

***

8.
# TaCoIr2 (SCAN, PBEsol geometry)
data_TaCoIr2
_space_group_name_H-M_alt 'P 4/m m m'
_space_group_IT_number 123
_space_group_name_Hall '-P 4 2'
_cell_length_a 3.822
_cell_length_b 3.822
_cell_length_c 3.760
_cell_angle_alpha 90.00
_cell_angle_beta 90.00
_cell_angle_gamma 90.00
loop_
_atom_site_label
_atom_site_type_symbol
_atom_site_fract_x
_atom_site_fract_y
_atom_site_fract_z
Ta1 Ta 0.000 0.000 0.000
Co1 Co 0.500 0.500 0.000
Ir1 Ir 0.000 0.500 0.500
# **ΔE_f**: -0.60 eV/atom
# **E_tot**: -57.13 eV per atom
# **N(E_F)**: 1.28 states/eV per cell

***

Which of these has the lowest N(E_F)?
number 8

***

Which formula does entry 1 have?
TaCoIr2

***

What is the E_tot in the eighth record?
-57.13 eV per atom

***

The lowest N(E_F) belongs to which entry?
number 8